Entry from the Alexandria database: crystalline Li4UAu5 at its relaxed geometry (PBE).

The crystal system is orthorhombic. Its total energy is -3.970 eV/atom.

The space group is Pmmm (No. 47) and the conventional cell measures 2.9802, 3.4923 and 16.1622 Å, with angles of 90.00, 90.00 and 90.00 degrees. The asymmetric unit holds Li at (0.0000, 0.0000, 0.0921), Li at (0.0000, 0.0000, 0.2752), U at (0.0000, 0.0000, 0.5000), Au at (0.5000, 0.5000, 0.0000), Au at (0.5000, 0.5000, 0.1844) and Au at (0.5000, 0.5000, 0.3677).